(1)
5
Lattice="5.2758 0.0000 0.0000 0.0000 5.2758 0.0000 0.0000 0.0000 5.2536" Properties=species:S:1:pos:R:3 comment="NaTlCd2Pd (GGA-PBE, relaxed)" magnetic_moment_mub_per_fu=0.0 ef_ev_per_atom=-0.0832 spacegroup="P4/mmm, No. 123" pbc="T T T"
Na 2.6379 2.6379 2.6268
Tl 0.0000 0.0000 2.6268
Pd 0.0000 0.0000 0.0000
Cd 0.0000 2.6379 0.0000
Cd 2.6379 0.0000 0.0000

---

(2)
12
Lattice="5.6206 1.0134 -1.6170 -1.2766 5.5667 -1.6170 -0.6806 -1.0309 8.2170" Properties=species:S:1:pos:R:3 comment="Ac2Ni3P (GGA-PBE, relaxed)" magnetic_moment_mub_per_fu=0.0 ef_ev_per_atom=-0.6191 spacegroup="Fmmm, No. 69" pbc="T T T"
Ac 0.1074 3.9129 2.4915
Ac 3.2978 4.9954 -2.4551
Ac 3.5560 1.6363 2.4915
Ac 1.0462 1.5847 -0.7789
Ni 2.8938 0.7756 5.4651
Ni 4.0873 2.5834 -0.4820
Ni 0.7696 4.7737 -0.4820
Ni -0.4239 2.9658 5.4651
Ni 3.1485 4.7692 2.7042
Ni 0.5150 0.7801 2.2789
P 0.9949 1.5070 4.4025
P 2.6686 4.0423 0.5805

---

(3)
5
Lattice="5.4247 0.0000 0.0000 0.0000 3.8457 0.0000 0.0000 0.0000 5.4247" Properties=species:S:1:pos:R:3 comment="RuAuCI2 (GGA-PBE, relaxed)" e_form_raw_mev_per_atom=1306 magnetic_moment_mub_per_fu=0.0 spacegroup="P4/mmm, No. 123" pbc="T T T"
I 0.0000 0.0000 2.7124
I 2.7124 0.0000 0.0000
Ru 0.0000 1.9229 0.0000
C 0.0000 0.0000 0.0000
Au 2.7124 1.9229 2.7124

---

(4)
12
Lattice="6.6591 1.3255 0.5874 4.4308 7.2652 2.1144 -1.3731 -0.6167 8.9438" Properties=species:S:1:pos:R:3 comment="Sm4Dy7Er (GGA-PBE, relaxed)" magnetic_moment_mub_per_fu=0.0 ef_ev_per_atom=0.0882 spacegroup="P-1, No. 2" pbc="T T T"
Sm 6.1219 5.1989 4.2055
Sm 3.5950 2.7750 7.4401
Sm 7.9411 6.7123 8.4250
Sm 1.7758 1.2616 3.2206
Dy 5.8615 4.1056 10.0021
Dy 3.8554 3.8684 1.6435
Dy 7.0760 3.2110 6.9760
Dy 2.6409 4.7630 4.6696
Dy 4.7157 5.9024 7.3942
Dy 3.3296 0.6627 0.2937
Dy 5.0011 2.0716 4.2514
Er 0.0000 0.0000 0.0000

---

(5)
4
Lattice="4.7838 0.0000 0.0000 0.0000 3.4737 0.0439 0.0000 0.6065 6.0723" Properties=species:S:1:pos:R:3 comment="SrFe2Pb (GGA-PBE, relaxed)" magnetic_moment_mub_per_fu=5.2 ef_ev_per_atom=0.5480 spacegroup="P2/m, No. 10" pbc="T T T"
Fe 0.0000 0.1523 0.6982
Fe 0.0000 1.8878 2.3598
Pb 2.3919 1.0200 1.5290
Sr 2.3919 3.0601 4.5871

---

(6)
10
Lattice="4.9004 0.0000 0.0000 0.0000 5.5585 0.0000 0.0000 -2.7792 4.8138" Properties=species:S:1:pos:R:3 comment="Ba2LiCrH6 (GGA-PBE, relaxed)" magnetic_moment_mub_per_fu=1.0 dft_energy_ev_per_atom=-3.88 spacegroup="P-3m1, No. 164" pbc="T T T"
Ba 1.1907 0.0000 3.2092
Ba 3.7098 2.7792 1.6046
Li 2.4502 0.0000 0.0000
Cr 0.0000 0.0000 0.0000
H 3.8245 0.0000 1.4320
H 3.8245 -1.5391 4.0978
H 3.8245 1.5391 4.0978
H 1.0759 4.3183 0.7160
H 1.0759 1.2402 0.7160
H 1.0759 2.7792 3.3818

---

(7)
12
Lattice="-2.3674 2.9937 -6.5843 1.5272 -7.4411 0.4659 -8.9674 -1.6865 2.4573" Properties=species:S:1:pos:R:3 comment="CsCeAg2Cl8 (GGA-PBE, relaxed)" e_form_raw_mev_per_atom=-1225 magnetic_moment_mub_per_fu=1.3 spacegroup="P-3m1, No. 164" pbc="T T T"
Cs -4.4837 -0.8433 1.2287
Ce 0.0000 0.0000 0.0000
Ag -6.1160 -5.1562 -0.1454
Ag -3.6915 -0.9778 -3.5156
Cl -7.3280 -3.2772 1.1447
Cl -6.5247 -7.1909 1.3897
Cl -7.7699 -5.6163 -2.0733
Cl -2.0377 -0.5176 -1.5877
Cl -5.9570 -1.4038 -2.8948
Cl -3.8506 -4.7301 -0.7662
Cl -2.4796 -2.8567 -4.8057
Cl -3.2828 1.0570 -5.0508

---

(8)
32
Lattice="-1.0742 6.5087 -1.6255 -15.7115 -3.4730 -3.5236 -1.3912 1.0589 5.1594" Properties=species:S:1:pos:R:3 comment="AuO (GGA-PBE, relaxed)" e_form_raw_mev_per_atom=193 magnetic_moment_mub_per_fu=0.4 spacegroup="Fddd, No. 70" pbc="T T T"
Au -0.3480 0.2649 1.2906
Au -1.0431 0.7940 3.8687
Au -13.4431 0.0812 2.1095
Au -12.7480 -0.4479 -0.4686
Au -8.8993 -0.9421 2.1086
Au -8.2033 -1.4719 -0.4728
Au -4.8918 1.2882 1.2916
Au -4.1966 0.7591 -1.2865
Au -1.5807 4.0487 3.0576
Au -0.8846 3.5189 0.4763
Au -13.2846 2.8061 -1.2829
Au -12.5895 2.2769 -3.8610
Au -8.7408 1.7827 -1.2839
Au -9.4360 2.3119 1.2942
Au -6.1244 5.0720 3.0586
Au -5.4293 4.5429 0.4805
O -4.8778 -1.0782 -1.0939
O -10.8337 -2.3947 -2.4297
O -7.5221 0.3654 -0.6653
O -1.5663 1.6819 0.6704
O -13.4291 -2.2852 -0.2761
O -3.6735 -0.1288 1.9118
O -16.0735 -0.8416 0.1526
O -10.1176 0.4749 1.4883
O -6.1105 2.7056 0.6730
O -12.0664 1.3890 -0.6627
O -8.7548 4.1492 1.1017
O -2.7990 5.4657 2.4374
O -13.2706 0.4396 -3.6685
O -3.5151 2.5961 -1.4806
O -15.9150 1.8832 -3.2398
O -9.9591 3.1998 -1.9041

---

(9)
4
Lattice="-1.6775 -0.1129 4.9376 -5.1132 -0.1850 1.0137 -2.1191 -4.3554 1.9355" Properties=species:S:1:pos:R:3 comment="PmCdPbAu (GGA-PBE, relaxed)" magnetic_moment_mub_per_fu=0.0 ef_ev_per_atom=-0.3977 spacegroup="F-43m, No. 216" pbc="T T T"
Pb 0.0000 0.0000 0.0000
Cd -6.6823 -3.4900 5.9150
Au -2.2274 -1.1633 1.9717
Pm -4.4549 -2.3267 3.9434

---

(10)
5
Lattice="5.1107 0.0000 0.0000 0.0000 5.1107 0.0000 0.0000 0.0000 4.7602" Properties=species:S:1:pos:R:3 comment="RbTiPCl2 (GGA-PBE, relaxed)" e_form_raw_mev_per_atom=-1072 magnetic_moment_mub_per_fu=0.1 spacegroup="P4/mmm, No. 123" pbc="T T T"
P 0.0000 0.0000 2.3801
Cl 0.0000 2.5553 0.0000
Cl 2.5553 0.0000 0.0000
Rb 2.5553 2.5553 2.3801
Ti 0.0000 0.0000 0.0000

---

(11)
12
Lattice="4.5651 0.0000 0.0000 0.0000 9.9245 -0.3358 0.0000 -2.9646 10.4765" Properties=species:S:1:pos:R:3 comment="RbCdSbTe3 (GGA-PBE, relaxed)" e_form_raw_mev_per_atom=-508 magnetic_moment_mub_per_fu=0.0 spacegroup="P2_1/m, No. 11" pbc="T T T"
Rb 1.1413 1.2982 2.5381
Rb 3.4238 5.6617 7.6026
Cd 1.1413 -0.9678 6.3966
Cd 3.4238 7.9277 3.7441
Sb 1.1413 6.2524 1.0867
Sb 3.4238 0.7075 9.0540
Te 3.4238 8.3613 0.9259
Te 1.1413 -1.4014 9.2148
Te 1.1413 6.3722 4.5925
Te 3.4238 0.5877 5.5482
Te 3.4238 4.1079 1.4263
Te 1.1413 2.8520 8.7144

---

(12)
4
Lattice="5.7964 -0.0443 0.0142 4.7752 3.2859 0.0142 1.8379 0.5636 4.2004" Properties=species:S:1:pos:R:3 comment="Mg2MoPb (GGA-PBE, relaxed)" magnetic_moment_mub_per_fu=0.6 ef_ev_per_atom=0.3402 spacegroup="Immm, No. 71" pbc="T T T"
Mg 10.4351 3.1998 0.0942
Mg 6.3413 1.9445 2.0484
Mo 3.1024 0.9513 1.0572
Pb 9.3072 2.8539 3.1715